[1]
VASP calculation (PBE) on an optimized crystal structure of CsAg2SeBr8.

Cell: 6.931 6.102 10.126 Å, 69.91 86.07 89.81°
Fractional coordinates of all 12 atoms:
Br: 0.115 0.662 0.222
Br: 0.686 0.766 0.977
Br: 0.314 0.234 0.023
Br: 0.212 0.854 0.828
Br: 0.499 0.263 0.482
Br: 0.885 0.338 0.778
Br: 0.788 0.146 0.172
Br: 0.501 0.737 0.518
Ag: 0.476 0.458 0.201
Ag: 0.524 0.542 0.799
Cs: 0.000 0.000 0.500
Se: 0.000 0.000 0.000

* uncorrected formation energy: -0.4218 eV per atom
* ρ: 4416 kg/m³
* DOS at the Fermi energy: 2.32 states/eV/cell
* final energy: -2.374 eV/atom

=====

[2]
VASP calculation (PBE) on an optimized crystal structure of PrGaBi.

Cell: 5.198 5.733 7.183 Å, 80.56 68.79 63.04°
Fractional coordinates of all 6 atoms:
Pr: 0.636 0.000 0.727
Pr: 0.364 0.000 0.273
Bi: 0.154 0.692 0.000
Bi: 0.846 0.308 0.000
Ga: 0.750 0.500 0.500
Ga: 0.250 0.500 0.500

* energy above the most stable polymorph in this dataset: 222 meV/atom
* ρ: 7835 kg/m³
* DOS at the Fermi energy: 6.26 states/eV/cell
* calculated formation energy: -0.243 eV/atom
* final energy: -4.139 eV/atom

=====

[3]
VASP calculation (PBE) on an optimized crystal structure of TiTc2Ir.

Cell: 4.387 4.387 4.387 Å, 60.00 60.00 60.00°
Fractional coordinates of all 4 atoms:
Ti: 0.000 0.000 0.000
Tc: 0.750 0.750 0.750
Tc: 0.250 0.250 0.250
Ir: 0.500 0.500 0.500

* energy above the most stable polymorph in this dataset: 0 meV/atom
* ρ: 12125 kg/m³
* DOS at the Fermi energy: 4.38 states/eV/cell
* calculated formation energy: -0.067 eV/atom
* final energy: -9.439 eV/atom

=====

[4]
VASP calculation (PBE) on an optimized crystal structure of CaTlCl2.

Cell: 10.527 10.527 10.527 Å, 21.77 21.77 21.77°
Fractional coordinates of all 4 atoms:
Tl: 0.000 0.000 0.000
Ca: 0.500 0.500 0.500
Cl: 0.881 0.881 0.881
Cl: 0.119 0.119 0.119

* uncorrected formation energy: -1.6172 eV per atom
* energy above the most stable polymorph in this dataset: 0 meV/atom
* ρ: 3724 kg/m³
* DOS at the Fermi energy: 1.18 states/eV/cell
* final energy: -3.632 eV/atom

=====

[5]
VASP calculation (PBE) on an optimized crystal structure of SrP2Ru.

Cell: 3.239 3.239 6.891 Å, 90.00 90.00 90.00°
Fractional coordinates of all 4 atoms:
P: 0.000 0.000 0.061
P: 0.500 0.500 0.269
Sr: 0.500 0.500 0.765
Ru: 0.000 0.000 0.405

* energy above the most stable polymorph in this dataset: 565 meV/atom
* ρ: 5758 kg/m³
* DOS at the Fermi energy: 2.60 states/eV/cell
* calculated formation energy: -0.126 eV/atom
* final energy: -5.570 eV/atom

=====

[6]
VASP calculation (PBE) on an optimized crystal structure of KMoBr4.

Cell: 4.025 6.771 8.237 Å, 105.71 89.99 107.32°
Fractional coordinates of all 6 atoms:
Br: 0.615 0.230 0.928
Br: 0.875 0.750 0.692
Br: 0.385 0.770 0.072
Br: 0.125 0.250 0.308
K: 0.500 0.000 0.500
Mo: 0.000 0.000 0.000

* uncorrected formation energy: -0.8754 eV per atom
* energy above the most stable polymorph in this dataset: 0 meV/atom
* ρ: 3673 kg/m³
* final energy: -3.979 eV/atom

=====

[7]
VASP calculation (PBE) on an optimized crystal structure of Sm3Ga.

Cell: 5.423 5.423 5.423 Å, 60.00 60.00 60.00°
Fractional coordinates of all 4 atoms:
Ga: 0.500 0.500 0.500
Sm: 0.750 0.750 0.750
Sm: 0.250 0.250 0.250
Sm: 0.000 0.000 0.000

* energy above the most stable polymorph in this dataset: 200 meV/atom
* ρ: 7669 kg/m³
* DOS at the Fermi energy: 5.91 states/eV/cell
* calculated formation energy: -0.066 eV/atom
* final energy: -4.362 eV/atom

=====

[8]
VASP calculation (PBE) on an optimized crystal structure of MnFe.

Cell: 2.478 2.478 3.570 Å, 90.00 90.00 90.00°
Fractional coordinates of all 2 atoms:
Fe: 0.500 0.500 0.500
Mn: 0.000 0.000 0.000

* ρ: 8394 kg/m³
* DOS at the Fermi energy: 1.68 states/eV/cell
* calculated formation energy: 0.044 eV/atom
* final energy: -8.773 eV/atom

=====

[9]
VASP calculation (PBE) on an optimized crystal structure of Ca2CrRe.

Cell: 5.726 5.726 3.606 Å, 108.36 108.36 112.29°
Fractional coordinates of all 4 atoms:
Ca: 0.980 0.020 0.000
Ca: 0.271 0.729 0.500
Cr: 0.550 0.450 0.000
Re: 0.699 0.301 0.500

* energy above the most stable polymorph in this dataset: 157 meV/atom
* ρ: 5858 kg/m³
* DOS at the Fermi energy: 3.50 states/eV/cell
* calculated formation energy: 0.546 eV/atom
* final energy: -5.972 eV/atom

=====

[10]
VASP calculation (PBE) on an optimized crystal structure of AlTl2Pb.

Cell: 4.495 4.495 11.922 Å, 79.13 79.13 90.00°
Fractional coordinates of all 8 atoms:
Al: 0.500 0.500 0.000
Al: 0.250 0.750 0.500
Tl: 0.617 0.125 0.250
Tl: 0.133 0.625 0.250
Tl: 0.375 0.383 0.750
Tl: 0.875 0.867 0.750
Pb: 0.000 0.000 0.000
Pb: 0.750 0.250 0.500

* energy above the most stable polymorph in this dataset: 126 meV/atom
* ρ: 9198 kg/m³
* DOS at the Fermi energy: 4.54 states/eV/cell
* calculated formation energy: 0.252 eV/atom
* final energy: -2.794 eV/atom

=====

[11]
VASP calculation (PBE) on an optimized crystal structure of TlCIO2.

Cell: 4.167 4.167 4.411 Å, 90.00 90.00 90.00°
Fractional coordinates of all 5 atoms:
O: 0.500 0.000 0.000
O: 0.000 0.500 0.000
I: 0.000 0.000 0.500
C: 0.000 0.000 0.000
Tl: 0.500 0.500 0.500

* uncorrected formation energy: 1.2205 eV per atom
* energy above the most stable polymorph in this dataset: 0 meV/atom
* ρ: 8134 kg/m³
* DOS at the Fermi energy: 2.55 states/eV/cell
* final energy: -3.391 eV/atom

=====

[12]
VASP calculation (PBE) on an optimized crystal structure of ScCdP2.

Cell: 4.711 4.711 4.711 Å, 60.00 60.00 60.00°
Fractional coordinates of all 4 atoms:
Cd: 0.500 0.500 0.500
P: 0.250 0.250 0.250
P: 0.000 0.000 0.000
Sc: 0.750 0.750 0.750

* ρ: 4927 kg/m³
* DOS at the Fermi energy: 2.44 states/eV/cell
* calculated formation energy: 0.095 eV/atom
* final energy: -4.422 eV/atom

=====

Please write out number 8 again, unchanged.
VASP calculation (PBE) on an optimized crystal structure of MnFe.

Cell: 2.478 2.478 3.570 Å, 90.00 90.00 90.00°
Fractional coordinates of all 2 atoms:
Fe: 0.500 0.500 0.500
Mn: 0.000 0.000 0.000

* ρ: 8394 kg/m³
* DOS at the Fermi energy: 1.68 states/eV/cell
* calculated formation energy: 0.044 eV/atom
* final energy: -8.773 eV/atom

=====

Copy entry 9 word for word.
VASP calculation (PBE) on an optimized crystal structure of Ca2CrRe.

Cell: 5.726 5.726 3.606 Å, 108.36 108.36 112.29°
Fractional coordinates of all 4 atoms:
Ca: 0.980 0.020 0.000
Ca: 0.271 0.729 0.500
Cr: 0.550 0.450 0.000
Re: 0.699 0.301 0.500

* energy above the most stable polymorph in this dataset: 157 meV/atom
* ρ: 5858 kg/m³
* DOS at the Fermi energy: 3.50 states/eV/cell
* calculated formation energy: 0.546 eV/atom
* final energy: -5.972 eV/atom